LiTmPa2Se6 | Alexandria | PBE-GGA | relaxed; final energy = -5.693 eV per atom; raw formation energy = -1.065 eV/atom; space group = P4mm (99)
1.0
6.5307 0.0000 0.0000
0.0000 6.5307 0.0000
0.0000 0.0000 6.8716
Li Tm Pa Se
1 1 2 6
Direct
0.0000 0.0000 0.0000
0.5000 0.5000 0.0298
0.0000 0.5000 0.4510
0.5000 0.0000 0.4510
0.0000 0.0000 0.6316
0.2414 0.2414 0.2065
0.2414 0.7586 0.2065
0.5000 0.5000 0.6287
0.7586 0.2414 0.2065
0.7586 0.7586 0.2065